Material: CsHgGeAu2
Method: DFT, PBE-GGA
State: optimized geometry

The energy relative to the elements is -0.135 eV per atom. The density of states at the Fermi level is 0.544 states/eV/f.u. For the total energy, the calculation gives -13.00 eV per cell. The value obtained for the magnetization is 0.00 μB per cell.

The structure belongs to space group P4/mmm (No. 123); the cell edges are 5.279, 5.279 and 5.400 Å and the angles 90.00°, 90.00° and 90.00°. The inequivalent atoms are Cs at (0.000, 0.000, 0.000), Hg at (0.500, 0.500, 0.000), Ge at (0.500, 0.500, 0.500) and Au at (0.000, 0.500, 0.500).

Material: Cs2GeAuI6
Method: DFT, PBE-GGA
State: optimized geometry

Its formation energy from raw total energies is -0.719 eV per atom. The density of states at the Fermi level is 2.417 states/eV/f.u. For the total energy, the calculation gives -52.18 eV per cell. The value obtained for the magnetization is 0.00 μB per cell.

The structure belongs to space group I4/mmm (No. 139); the cell edges are 8.309, 8.309 and 11.861 Å and the angles 90.00°, 90.00° and 90.00°. The inequivalent atoms are Cs at (0.000, 0.500, 0.250), Ge at (0.000, 0.000, 0.000), Au at (0.000, 0.000, 0.500), I at (0.000, 0.000, 0.247) and I at (0.250, 0.250, 0.000).

Material: Cs2GeAuI
Method: DFT, PBE-GGA
State: optimized geometry

Its formation energy from raw total energies is -0.558 eV per atom. The density of states at the Fermi level is 1.876 states/eV/f.u. For the total energy, the calculation gives -13.94 eV per cell. The value obtained for the magnetization is 0.00 μB per cell.

The structure belongs to space group P4/mmm (No. 123); the cell edges are 7.149, 7.149 and 4.745 Å and the angles 90.00°, 90.00° and 90.00°. The inequivalent atoms are Cs at (0.000, 0.500, 0.000), Ge at (0.000, 0.000, 0.500), Au at (0.000, 0.000, 0.000) and I at (0.500, 0.500, 0.500).

Material: Cs2GeAuI5
Method: DFT, PBE-GGA
State: optimized geometry

Its formation energy from raw total energies is -0.791 eV per atom. For the total energy, the calculation gives -97.89 eV per cell. The value obtained for the magnetization is 0.00 μB per cell.

The structure belongs to space group Cmc2_1 (No. 36); the cell edges are 4.665, 23.822 and 15.006 Å and the angles 90.00°, 90.00° and 90.00°. The inequivalent atoms are Cs at (0.000, 0.122, 0.000), Cs at (0.000, 0.127, 0.411), Ge at (0.000, 0.220, 0.703), Au at (0.000, 0.446, 0.118), I at (0.000, 0.081, 0.705), I at (0.000, 0.282, 0.067), I at (0.000, 0.288, 0.337), I at (0.000, 0.341, 0.705) and I at (0.000, 0.498, 0.956).

Material: Cs3Ge2AuI9
Method: DFT, PBE-GGA
State: optimized geometry

Its formation energy from raw total energies is -0.747 eV per atom. The density of states at the Fermi level is 3.128 states/eV/f.u. For the total energy, the calculation gives -40.22 eV per cell. The value obtained for the magnetization is 0.00 μB per cell.

The structure belongs to space group P-3m1 (No. 164); the cell edges are 8.3844, 8.3844 and 10.2623 Å and the angles 90.00°, 90.00° and 120.00°. The inequivalent atoms are Cs at (0.0000, 0.0000, 0.0000), Cs at (0.3333, 0.6667, 0.6673), Ge at (0.3333, 0.6667, 0.1755), Au at (0.0000, 0.0000, 0.5000), I at (0.0000, 0.5000, 0.0000) and I at (0.1664, 0.3327, 0.3332).

Material: Cs2InGeAu6
Method: DFT, PBE-GGA
State: optimized geometry

The energy relative to the elements is -0.174 eV per atom. The density of states at the Fermi level is 2.566 states/eV/f.u. For the total energy, the calculation gives -60.93 eV per cell. The value obtained for the magnetization is 0.00 μB per cell.

The structure belongs to space group C2/m (No. 12); the cell edges are 10.459, 10.724 and 7.185 Å and the angles 90.00°, 133.33° and 90.00°. The inequivalent atoms are Cs at (0.000, 0.202, 0.000), In at (0.000, 0.000, 0.500), Ge at (0.000, 0.500, 0.500), Au at (0.000, 0.260, 0.500), Au at (0.185, 0.500, 0.379) and Au at (0.186, 0.500, 0.990).

Material: CsIn2Ge2Au6
Method: DFT, PBE-GGA
State: optimized geometry

The energy relative to the elements is -0.087 eV per atom. The density of states at the Fermi level is 3.362 states/eV/f.u. For the total energy, the calculation gives -36.19 eV per cell. The value obtained for the magnetization is 0.00 μB per cell.

The structure belongs to space group P-1 (No. 2); the cell edges are 7.369, 7.639 and 7.646 Å and the angles 61.37°, 73.92° and 74.10°. The inequivalent atoms are Cs at (0.000, 0.000, 0.000), In at (0.179, 0.296, 0.295), Ge at (0.467, 0.608, 0.606), Au at (0.181, 0.505, 0.505), Au at (0.186, 0.504, 0.890) and Au at (0.186, 0.891, 0.503).

Material: CsLiGe2Au
Method: DFT, PBE-GGA
State: optimized geometry

The energy relative to the elements is 1.550 eV per atom. The density of states at the Fermi level is 5.169 states/eV/f.u. For the total energy, the calculation gives -7.53 eV per cell. The value obtained for the magnetization is 0.00 μB per cell.

The structure belongs to space group P4/mmm (No. 123); the cell edges are 5.919, 5.919 and 5.029 Å and the angles 90.00°, 90.00° and 90.00°. The inequivalent atoms are Cs at (0.000, 0.000, 0.000), Li at (0.000, 0.000, 0.500), Ge at (0.000, 0.500, 0.000) and Au at (0.500, 0.500, 0.500).

Material: CsNaGeAu2
Method: DFT, PBE-GGA
State: optimized geometry

The energy relative to the elements is -0.148 eV per atom. The density of states at the Fermi level is 2.848 states/eV/f.u. For the total energy, the calculation gives -14.09 eV per cell. The value obtained for the magnetization is 0.00 μB per cell.

The structure belongs to space group P4/mmm (No. 123); the cell edges are 5.147, 5.147 and 5.612 Å and the angles 90.00°, 90.00° and 90.00°. The inequivalent atoms are Cs at (0.000, 0.000, 0.000), Na at (0.500, 0.500, 0.000), Ge at (0.500, 0.500, 0.500) and Au at (0.000, 0.500, 0.500).

Material: CsGe2PAu
Method: DFT, PBE-GGA
State: optimized geometry

The energy relative to the elements is 0.491 eV per atom. The density of states at the Fermi level is 4.151 states/eV/f.u. For the total energy, the calculation gives -16.32 eV per cell. The value obtained for the magnetization is 0.00 μB per cell.

The structure belongs to space group P4/mmm (No. 123); the cell edges are 4.934, 4.934 and 7.103 Å and the angles 90.00°, 90.00° and 90.00°. The inequivalent atoms are Cs at (0.000, 0.000, 0.000), Ge at (0.000, 0.500, 0.500), P at (0.000, 0.000, 0.500) and Au at (0.500, 0.500, 0.000).

Material: Cs2RbGeAu
Method: DFT, PBE-GGA
State: optimized geometry

The polymorph energy (0 for the lowest one) is 0.0 meV/atom. The energy relative to the elements is -0.017 eV per atom. The density of states at the Fermi level is 3.658 states/eV/f.u. For the total energy, the calculation gives -10.65 eV per cell. The value obtained for the magnetization is 0.00 μB per cell.

The structure belongs to space group P4/mmm (No. 123); the cell edges are 7.407, 7.407 and 4.869 Å and the angles 90.00°, 90.00° and 90.00°. The inequivalent atoms are Cs at (0.000, 0.500, 0.000), Rb at (0.000, 0.000, 0.500), Ge at (0.500, 0.500, 0.500) and Au at (0.500, 0.500, 0.000).

Material: CsGe2RuAu
Method: DFT, PBE-GGA
State: optimized geometry

The energy relative to the elements is 0.005 eV per atom. The density of states at the Fermi level is 1.285 states/eV/f.u. For the total energy, the calculation gives -22.62 eV per cell. The value obtained for the magnetization is 0.00 μB per cell.

The structure belongs to space group P4/mmm (No. 123); the cell edges are 4.768, 4.768 and 5.648 Å and the angles 90.00°, 90.00° and 90.00°. The inequivalent atoms are Cs at (0.000, 0.000, 0.000), Ge at (0.000, 0.500, 0.500), Ru at (0.500, 0.500, 0.500) and Au at (0.500, 0.500, 0.000).

Material: CsGeAuS3
Method: DFT, PBE-GGA
State: optimized geometry

Its formation energy from raw total energies is -0.656 eV per atom. The density of states at the Fermi level is 0.000 states/eV/f.u. For the total energy, the calculation gives -100.27 eV per cell. The value obtained for the magnetization is 0.00 μB per cell.

The structure belongs to space group C2/m (No. 12); the cell edges are 13.678, 7.516 and 8.258 Å and the angles 90.00°, 111.93° and 90.00°. The inequivalent atoms are Cs at (0.160, 0.000, 0.226), Ge at (0.058, 0.500, 0.875), Au at (0.000, 0.251, 0.500), S at (0.109, 0.247, 0.793) and S at (0.118, 0.500, 0.174).

Material: CsGeSbAu4
Method: DFT, PBE-GGA
State: optimized geometry

Its formation energy from raw total energies is -0.172 eV per atom. The density of states at the Fermi level is 1.034 states/eV/f.u. For the total energy, the calculation gives -95.64 eV per cell. The value obtained for the magnetization is 0.00 μB per cell.

The structure belongs to space group C2/m (No. 12); the cell edges are 15.485, 7.294 and 8.367 Å and the angles 90.00°, 91.99° and 90.00°. The inequivalent atoms are Cs at (0.134, 0.000, 0.144), Ge at (0.244, 0.500, 0.333), Sb at (0.081, 0.500, 0.787), Au at (0.068, 0.500, 0.387), Au at (0.147, 0.500, 0.085) and Au at (0.184, 0.298, 0.604).

Material: CsGeAuSe3
Method: DFT, PBE-GGA
State: optimized geometry

Its formation energy from raw total energies is -0.598 eV per atom. For the total energy, the calculation gives -91.16 eV per cell. The value obtained for the magnetization is 0.00 μB per cell.

The structure belongs to space group C2/m (No. 12); the cell edges are 13.986, 7.832 and 8.378 Å and the angles 90.00°, 110.38° and 90.00°. The inequivalent atoms are Cs at (0.150, 0.000, 0.238), Ge at (0.064, 0.500, 0.875), Au at (0.000, 0.243, 0.500), Se at (0.118, 0.500, 0.186) and Se at (0.120, 0.240, 0.792).

Material: CsGeAu2Se4
Method: DFT, PBE-GGA
State: optimized geometry

Its formation energy from raw total energies is -0.384 eV per atom. The density of states at the Fermi level is 6.677 states/eV/f.u. For the total energy, the calculation gives -58.07 eV per cell. The value obtained for the magnetization is 0.00 μB per cell.

The structure belongs to space group I222 (No. 23); the cell edges are 6.819, 8.237 and 9.354 Å and the angles 90.00°, 90.00° and 90.00°. The inequivalent atoms are Cs at (0.000, 0.000, 0.000), Ge at (0.000, 0.000, 0.500), Au at (0.000, 0.500, 0.149) and Se at (0.201, 0.169, 0.350).

Material: Cs2SiGeAu6
Method: DFT, PBE-GGA
State: optimized geometry

Its formation energy from raw total energies is -0.201 eV per atom. The density of states at the Fermi level is 1.074 states/eV/f.u. For the total energy, the calculation gives -66.84 eV per cell. The value obtained for the magnetization is 0.00 μB per cell.

The structure belongs to space group Cm (No. 8); the cell edges are 9.988, 10.009 and 7.145 Å and the angles 90.00°, 134.31° and 90.00°. The inequivalent atoms are Cs at (0.000, 0.250, 0.000), Si at (0.076, 0.000, 0.651), Ge at (0.076, 0.500, 0.651), Au at (0.003, 0.245, 0.506), Au at (0.248, 0.000, 0.505), Au at (0.258, 0.500, 0.505), Au at (0.317, 0.000, 0.134) and Au at (0.327, 0.500, 0.153).

Material: Cs2SnGeAu6
Method: DFT, PBE-GGA
State: optimized geometry

The energy relative to the elements is -0.160 eV per atom. The density of states at the Fermi level is 1.750 states/eV/f.u. For the total energy, the calculation gives -63.19 eV per cell. The value obtained for the magnetization is 0.00 μB per cell.

The structure belongs to space group C2/m (No. 12); the cell edges are 10.568, 10.561 and 7.480 Å and the angles 90.00°, 134.86° and 90.00°. The inequivalent atoms are Cs at (0.000, 0.250, 0.000), Sn at (0.000, 0.000, 0.500), Ge at (0.000, 0.500, 0.500), Au at (0.000, 0.259, 0.500), Au at (0.241, 0.500, 0.500) and Au at (0.241, 0.500, 0.982).

Material: CsGeTe2Au
Method: DFT, PBE-GGA
State: optimized geometry

Its formation energy from raw total energies is -0.386 eV per atom. The density of states at the Fermi level is 0.082 states/eV/f.u. For the total energy, the calculation gives -67.85 eV per cell. The value obtained for the magnetization is 0.00 μB per cell.

The structure belongs to space group Cmme (No. 67); the cell edges are 7.230, 15.489 and 6.941 Å and the angles 90.00°, 90.00° and 90.00°. The inequivalent atoms are Cs at (0.000, 0.250, 0.225), Ge at (0.250, 0.000, 0.500), Te at (0.000, 0.113, 0.721) and Au at (0.000, 0.000, 0.000).

Material: CsGeTe6Au
Method: DFT, PBE-GGA
State: optimized geometry

Its formation energy from raw total energies is -0.103 eV per atom. The density of states at the Fermi level is 4.882 states/eV/f.u. For the total energy, the calculation gives -114.10 eV per cell. The value obtained for the magnetization is 0.00 μB per cell.

The structure belongs to space group Imma (No. 74); the cell edges are 9.448, 10.177 and 13.809 Å and the angles 90.00°, 90.00° and 90.00°. The inequivalent atoms are Cs at (0.000, 0.250, 0.154), Ge at (0.000, 0.000, 0.500), Te at (0.000, 0.250, 0.420), Te at (0.000, 0.250, 0.879), Te at (0.246, 0.041, 0.883) and Au at (0.250, 0.250, 0.750).

Material: CsGeTe3Au
Method: DFT, PBE-GGA
State: optimized geometry

Its formation energy from raw total energies is -0.324 eV per atom. The density of states at the Fermi level is 3.036 states/eV/f.u. For the total energy, the calculation gives -80.47 eV per cell. The value obtained for the magnetization is 0.00 μB per cell.

The structure belongs to space group C2/m (No. 12); the cell edges are 12.367, 9.135 and 8.976 Å and the angles 90.00°, 104.93° and 90.00°. The inequivalent atoms are Cs at (0.186, 0.000, 0.278), Ge at (0.019, 0.500, 0.144), Te at (0.081, 0.252, 0.798), Te at (0.234, 0.500, 0.260) and Au at (0.000, 0.257, 0.500).

Material: CsTl2GeAu
Method: DFT, PBE-GGA
State: optimized geometry

The energy relative to the elements is 0.047 eV per atom. The density of states at the Fermi level is 2.097 states/eV/f.u. For the total energy, the calculation gives -13.25 eV per cell. The value obtained for the magnetization is 0.00 μB per cell.

The structure belongs to space group P4/mmm (No. 123); the cell edges are 5.777, 5.777 and 5.225 Å and the angles 90.00°, 90.00° and 90.00°. The inequivalent atoms are Cs at (0.000, 0.000, 0.000), Tl at (0.000, 0.500, 0.500), Ge at (0.500, 0.500, 0.500) and Au at (0.500, 0.500, 0.000).

Material: CsTlGeAu2
Method: DFT, PBE-GGA
State: optimized geometry

The energy relative to the elements is -0.037 eV per atom. The density of states at the Fermi level is 2.225 states/eV/f.u. For the total energy, the calculation gives -14.58 eV per cell. The value obtained for the magnetization is 0.00 μB per cell.

The structure belongs to space group P4/mmm (No. 123); the cell edges are 5.281, 5.281 and 5.601 Å and the angles 90.00°, 90.00° and 90.00°. The inequivalent atoms are Cs at (0.000, 0.000, 0.000), Tl at (0.500, 0.500, 0.000), Ge at (0.500, 0.500, 0.500) and Au at (0.000, 0.500, 0.500).